Record 1
Entry from Alexandria via LeMat-Bulk: crystalline PmGa3CuRu at its relaxed geometry (PBE-GGA).

Properties
magnetic moment = 0.00 μB per formula unit
uncorrected energy = -114.9 eV for the cell shown

Cell and atoms, written as CIF:
```
data_PmGa3CuRu
_chemical_formula_sum 'Pm4 Ga12 Cu4 Ru4'
_symmetry_space_group_name_H-M 'C m c m'
_symmetry_Int_Tables_number 63
_symmetry_space_group_name_Hall '-C 2c 2'
_cell_length_a 6.404
_cell_length_b 12.179
_cell_length_c 5.760
_cell_angle_alpha 90.00
_cell_angle_beta 90.00
_cell_angle_gamma 90.00
loop_
_atom_site_label
_atom_site_type_symbol
_atom_site_fract_x
_atom_site_fract_y
_atom_site_fract_z
Pm1 Pm 0.000 0.233 0.250
Ga1 Ga 0.000 0.346 0.750
Ga2 Ga 0.194 0.000 0.000
Cu1 Cu 0.000 0.146 0.750
Ru1 Ru 0.000 0.449 0.250
```



Record 2
Entry from Alexandria via LeMat-Bulk: crystalline PmScGaCu at its relaxed geometry (PBE-GGA).

Properties
magnetic moment = 0.00 μB per formula unit
uncorrected energy = -78.9 eV for the cell shown

Cell and atoms, written as CIF:
```
data_PmScGaCu
_chemical_formula_sum 'Pm4 Sc4 Ga4 Cu4'
_symmetry_space_group_name_H-M 'F -4 3 m'
_symmetry_Int_Tables_number 216
_symmetry_space_group_name_Hall 'F -4 2 3'
_cell_length_a 6.975
_cell_length_b 6.975
_cell_length_c 6.975
_cell_angle_alpha 90.00
_cell_angle_beta 90.00
_cell_angle_gamma 90.00
loop_
_atom_site_label
_atom_site_type_symbol
_atom_site_fract_x
_atom_site_fract_y
_atom_site_fract_z
Pm1 Pm 0.000 0.000 0.000
Sc1 Sc 0.000 0.000 0.500
Ga1 Ga 0.250 0.250 0.250
Cu1 Cu 0.250 0.250 0.750
```



Record 3
Entry from Alexandria via LeMat-Bulk: crystalline PmSc2Ga2Cu2 at its relaxed geometry (PBE-GGA).

Properties
magnetic moment = 0.00 μB per formula unit
uncorrected energy = -103.7 eV for the cell shown

Cell and atoms, written as CIF:
```
data_PmSc2Ga2Cu2
_chemical_formula_sum 'Pm3 Sc6 Ga6 Cu6'
_symmetry_space_group_name_H-M 'R -3 m'
_symmetry_Int_Tables_number 166
_symmetry_space_group_name_Hall '-R 3 2"'
_cell_length_a 4.3492
_cell_length_b 4.3492
_cell_length_c 25.5748
_cell_angle_alpha 90.00
_cell_angle_beta 90.00
_cell_angle_gamma 120.00
loop_
_atom_site_label
_atom_site_type_symbol
_atom_site_fract_x
_atom_site_fract_y
_atom_site_fract_z
Pm1 Pm 0.0000 0.0000 0.0000
Sc1 Sc 0.0000 0.0000 0.1299
Ga1 Ga 0.0000 0.0000 0.2526
Cu1 Cu 0.0000 0.0000 0.4165
```



Record 4
Entry from Alexandria via LeMat-Bulk: crystalline PmScGa2Cu2 at its relaxed geometry (PBE-GGA).

Properties
magnetic moment = 0.00 μB per formula unit
uncorrected energy = -28.4 eV for the cell shown

Cell and atoms, written as CIF:
```
data_PmScGa2Cu2
_chemical_formula_sum 'Pm1 Sc1 Ga2 Cu2'
_symmetry_space_group_name_H-M 'P -3 m 1'
_symmetry_Int_Tables_number 164
_symmetry_space_group_name_Hall '-P 3 2"'
_cell_length_a 4.3105
_cell_length_b 4.3105
_cell_length_c 7.0159
_cell_angle_alpha 90.00
_cell_angle_beta 90.00
_cell_angle_gamma 120.00
loop_
_atom_site_label
_atom_site_type_symbol
_atom_site_fract_x
_atom_site_fract_y
_atom_site_fract_z
Pm1 Pm 0.0000 0.0000 0.0000
Sc1 Sc 0.0000 0.0000 0.5000
Ga1 Ga 0.3333 0.6667 0.2883
Cu1 Cu 0.3333 0.6667 0.6975
```